VPt2PbO | the Alexandria database | GGA+U | relaxed; space-group type = P4/mmm, No. 123; E_tot = -5.4974 eV per atom
1.0
4.770 0.000 0.000
0.000 4.770 0.000
0.000 0.000 3.782
V Pt Pb O
1 2 1 1
direct
0.000 0.000 0.000
0.000 0.500 0.500
0.500 0.000 0.500
0.500 0.500 0.000
0.000 0.000 0.500